Entry 1:
Al2PtPb | SCAN | PBEsol geometry

CIF file:
```
data_Al2PtPb
_chemical_formula_sum 'Al2 Pt1 Pb1'
_symmetry_space_group_name_H-M 'P 1'
_symmetry_Int_Tables_number 1
_cell_length_a 3.146
_cell_length_b 4.059
_cell_length_c 6.809
_cell_angle_alpha 107.34
_cell_angle_beta 103.36
_cell_angle_gamma 90.00
loop_
_symmetry_equiv_pos_as_xyz
'x,y,z'
loop_
_atom_site_label
_atom_site_type_symbol
_atom_site_fract_x
_atom_site_fract_y
_atom_site_fract_z
Al1 Al 0.923 0.923 0.847
Al2 Al 0.753 0.253 0.505
Pt1 Pt 0.268 0.768 0.537
Pb1 Pb 0.556 0.556 0.111
```

Formation enthalpy at 0 K in eV/atom: -0.4195
Calculated density in Mg/m³: 9.41



Entry 2:
TaSi2Mo | SCAN | PBEsol geometry

CIF file:
```
data_TaSi2Mo
_chemical_formula_sum 'Ta1 Si2 Mo1'
_symmetry_space_group_name_H-M 'P 1'
_symmetry_Int_Tables_number 1
_cell_length_a 3.347
_cell_length_b 4.561
_cell_length_c 4.780
_cell_angle_alpha 118.50
_cell_angle_beta 110.49
_cell_angle_gamma 90.00
loop_
_symmetry_equiv_pos_as_xyz
'x,y,z'
loop_
_atom_site_label
_atom_site_type_symbol
_atom_site_fract_x
_atom_site_fract_y
_atom_site_fract_z
Mo1 Mo 0.000 0.500 0.000
Si1 Si 0.254 0.254 0.507
Si2 Si 0.746 0.746 0.493
Ta1 Ta 0.500 0.000 0.000
```

Energy above the most stable polymorph in this dataset in meV/atom: 17.2
Calculated density in Mg/m³: 9.40
ΔE_f (raw) in eV/atom: -0.09



Entry 3:
CoRe2Si | SCAN | PBEsol geometry

CIF file:
```
data_CoRe2Si
_chemical_formula_sum 'Co1 Re2 Si1'
_symmetry_space_group_name_H-M 'P 1'
_symmetry_Int_Tables_number 1
_cell_length_a 2.730
_cell_length_b 4.391
_cell_length_c 4.673
_cell_angle_alpha 109.15
_cell_angle_beta 106.99
_cell_angle_gamma 90.00
loop_
_symmetry_equiv_pos_as_xyz
'x,y,z'
loop_
_atom_site_label
_atom_site_type_symbol
_atom_site_fract_x
_atom_site_fract_y
_atom_site_fract_z
Re1 Re 0.767 0.298 0.534
Re2 Re 0.983 0.944 0.966
Co1 Co 0.232 0.783 0.465
Si1 Si 0.517 0.475 0.035
```

Calculated density in Mg/m³: 15.16
ΔE_f (raw) in eV/atom: -0.07



Entry 4:
Te2PN | SCAN | PBEsol geometry

CIF file:
```
data_Te2PN
_chemical_formula_sum 'Te4 P2 N2'
_symmetry_space_group_name_H-M 'P 1'
_symmetry_Int_Tables_number 1
_cell_length_a 5.994
_cell_length_b 5.994
_cell_length_c 5.994
_cell_angle_alpha 101.07
_cell_angle_beta 113.83
_cell_angle_gamma 113.83
loop_
_symmetry_equiv_pos_as_xyz
'x,y,z'
loop_
_atom_site_label
_atom_site_type_symbol
_atom_site_fract_x
_atom_site_fract_y
_atom_site_fract_z
P1 P 0.000 0.000 0.000
P2 P 0.500 0.750 0.250
N1 N 0.500 0.250 0.750
N2 N 0.000 0.500 0.500
Te1 Te 0.050 0.175 0.625
Te2 Te 0.450 0.875 0.825
Te3 Te 0.950 0.575 0.125
Te4 Te 0.550 0.375 0.425
```

Calculated density in Mg/m³: 6.11
ΔE_f (raw) in eV/atom: 0.90



Q: Which formula does entry 1 have?
A: Al2PtPb



Q: Among the records above, which one has the lowest calculated density?
A: Te2PN



Q: calculated density of number 2 (TaSi2Mo)?
A: 9.40 Mg/m³